First-principles (PBE) data for a relaxed structure of CaTl4Ag, as listed in the Alexandria database.

The formation energy is -59.5 meV/atom. The calculation puts the magnetic moment at 0.0 μB/f.u.

a b c (Å): 5.784 7.070 10.278
angles (deg): 101.48 95.99 120.97
Positions (direct):
1 Ca 0.359 0.609 0.218
2 Ca 0.641 0.391 0.782
3 Tl 0.214 0.959 0.421
4 Tl 0.960 0.829 0.093
5 Tl 0.293 0.538 0.579
6 Tl 0.367 0.737 0.907
7 Tl 0.786 0.041 0.579
8 Tl 0.707 0.462 0.421
9 Tl 0.040 0.171 0.907
10 Tl 0.633 0.263 0.093
11 Ag 0.901 0.151 0.302
12 Ag 0.099 0.849 0.698